## YMn4Cu3O12 (GGA+U)

Data for a geometry-optimized YMn4Cu3O12 structure.

Calculated values
energy = -136.525 eV per cell
crystal system = orthorhombic
SG = Immm, No. 71
total moment = 14.1 μB/f.u.

```
20
Lattice="-3.7040 3.7081 3.7100 3.7040 -3.7081 3.7100 3.7040 3.7081 -3.7100" Properties=species:S:1:pos:R:3 pbc="T T T"
Y 0.0000 0.0000 0.0000
Mn 1.8520 1.8540 -1.8550
Mn 1.8520 -1.8540 1.8550
Mn -1.8520 1.8540 1.8550
Mn 1.8520 1.8540 1.8550
Cu 3.7040 0.0000 0.0000
Cu 0.0000 3.7081 0.0000
Cu 0.0000 0.0000 3.7100
O 3.7040 -1.4624 2.4535
O 2.2460 1.2566 0.0000
O 5.1621 1.2566 0.0000
O 2.4479 3.7081 -1.4623
O 1.2561 0.0000 2.2477
O 0.0000 2.2457 1.2565
O 3.7040 1.4624 2.4535
O 2.4479 3.7081 1.4623
O 1.2561 0.0000 5.1723
O -1.4580 2.4514 3.7100
O 1.4580 2.4514 3.7100
O 0.0000 5.1705 1.2565
```